# Li2ZrAg

An optimized crystal structure of Li2ZrAg (GGA-PBE, the Alexandria database).

Values from the calculation:
As for the calculated volume: 19.2 A^3/atom. The energy of formation comes out at 0.2226 eV/atom. The value obtained for the size of the total moment is 0.0 μB per formula unit. Its density of states at the Fermi level is 4.94 states/eV/cell.

Unit cell a=4.8083 b=3.9922 c=3.9922 alpha=90.00 beta=90.00 gamma=90.00
Closest atoms and distances in Å follow each position.
Fractional positions:
Zr  0.5000  0.5000  0.0000  4 Ag 2.82, 8 Li 3.12
Li  0.0000  0.0000  0.0000  4 Li 2.82, 4 Zr 3.12, 4 Ag 3.12
Li  0.0000  0.5000  0.5000  4 Li 2.82, 4 Zr 3.12, 4 Ag 3.12
Ag  0.5000  0.0000  0.5000  4 Zr 2.82, 8 Li 3.12